Entry 1:
Computed, not measured: an optimized crystal structure of MnSn2SbS5 at the PBE level of DFT.

POSCAR file:
```
MnSn2SbS5
1.0
1.971 -8.957 0.000
1.971 8.957 0.000
0.000 0.000 12.709
Mn Sn Sb S
2 4 2 10
Cartesian
1.971 7.705 6.355 Mn
1.971 -7.705 0.000 Mn
1.971 2.669 10.487 Sn
1.971 1.679 6.034 Sn
1.971 -1.679 12.389 Sn
1.971 -2.669 4.132 Sn
1.971 3.616 2.189 Sb
1.971 -3.616 8.544 Sb
1.971 8.578 11.118 S
1.971 6.163 2.230 S
1.971 5.425 6.598 S
1.971 5.240 10.435 S
1.971 0.618 1.116 S
1.971 -0.618 7.471 S
1.971 -5.240 4.080 S
1.971 -5.425 0.243 S
1.971 -6.163 8.584 S
1.971 -8.578 4.764 S
```

Properties
The value obtained for the volume is 448.6 Å³/cell. The calculation puts the energy at -5.008 eV per atom. The formation energy (no corrections) is -3.1 eV per formula unit. The total magnetic moment comes out at 0.444 μB per atom. The space-group type is Cmc2_1, No. 36.

=====

Entry 2:
Computed, not measured: an optimized crystal structure of Ba3Sr2Re3ClO15 at the PBE level of DFT.

POSCAR file:
```
Ba3Sr2Re3ClO15
1.0
10.861 0.000 0.000
-5.431 9.406 0.000
0.000 0.000 7.841
Ba Sr Re Cl O
6 4 6 2 30
Cartesian
-1.419 2.458 0.000 Ba
-4.012 6.949 3.920 Ba
2.838 0.000 0.000 Ba
1.419 2.458 3.920 Ba
8.023 0.000 3.920 Ba
4.012 6.949 0.000 Ba
0.000 6.271 1.961 Sr
0.000 6.271 5.881 Sr
5.431 3.135 1.961 Sr
5.431 3.135 5.881 Sr
-2.128 3.685 3.478 Re
-3.303 5.721 7.398 Re
4.256 0.000 3.478 Re
2.128 3.685 7.398 Re
6.606 0.000 7.398 Re
3.303 5.721 3.478 Re
0.000 0.000 2.236 Cl
0.000 0.000 6.156 Cl
-1.558 2.699 4.826 O
-3.872 6.707 0.905 O
-0.676 3.717 2.331 O
-2.550 6.962 6.251 O
-1.544 5.227 7.771 O
-1.676 5.455 3.851 O
0.676 3.717 6.251 O
-1.874 8.133 2.331 O
3.117 0.000 4.826 O
1.558 2.699 0.905 O
3.557 1.273 2.331 O
2.881 2.444 6.251 O
1.544 5.227 3.851 O
-0.132 8.130 7.771 O
1.676 5.455 7.771 O
0.132 8.130 3.851 O
5.299 1.276 7.771 O
3.755 3.951 3.851 O
5.563 1.276 3.851 O
3.887 4.179 7.771 O
2.550 6.962 2.331 O
1.874 8.133 6.251 O
7.745 0.000 0.905 O
3.872 6.707 4.826 O
7.304 1.273 6.251 O
4.754 5.689 2.331 O
7.107 3.951 7.771 O
6.975 4.179 3.851 O
7.981 2.444 2.331 O
6.107 5.689 6.251 O
```

Properties
The value obtained for the volume is 801.0 Å³/cell. The calculation puts the energy at -7.445 eV per atom. The formation energy (no corrections) is -56.0 eV per formula unit. The total magnetic moment comes out at 0.000 μB per atom. The space-group type is P6_3cm, No. 185.

=====

The following DOS at the Fermi energy values (in states/eV/cell) correspond, in order, to the records above: 5.1 0.0.